Computed, not measured: crystalline CsHoMo2O8 at its relaxed geometry at the PBE with a Hubbard U level of DFT.

Geometry as POSCAR:
```
CsHoMo2O8
1.0
-7.565 -0.365 0.699
-0.924 -0.598 -7.526
-3.627 -6.336 -2.749
Cs Ho Mo O
2 2 4 16
direct
0.193 0.807 0.750 Cs
0.807 0.193 0.250 Cs
0.773 0.227 0.750 Ho
0.227 0.773 0.250 Ho
0.693 0.691 0.770 Mo
0.307 0.309 0.230 Mo
0.309 0.307 0.730 Mo
0.691 0.693 0.270 Mo
0.613 0.757 0.572 O
0.387 0.243 0.428 O
0.243 0.387 0.928 O
0.757 0.613 0.072 O
0.371 0.064 0.879 O
0.629 0.936 0.121 O
0.936 0.629 0.621 O
0.064 0.371 0.379 O
0.589 0.371 0.962 O
0.411 0.629 0.038 O
0.629 0.411 0.538 O
0.371 0.589 0.462 O
0.778 0.946 0.709 O
0.222 0.054 0.291 O
0.054 0.222 0.791 O
0.946 0.778 0.209 O
```

Output
Total DFT energy (no corrections) (eV/atom): -7.07
V (A^3/atom): 14.24